Eu2RhCl: optimized geometry, PBE.

The structure in extended XYZ format:
```
4
Lattice="3.507 0.000 0.000 0.000 3.507 0.000 0.000 0.000 7.852" Properties=species:S:1:pos:R:3 pbc="T T T"
Eu 0.000 0.000 1.770
Eu 0.000 0.000 6.081
Rh 1.753 1.753 0.000
Cl 1.753 1.753 3.926
```

* electronic total energy: -8.488 eV/atom
* magnetic moment: 14.15 μB per formula unit
* formation energy (no corrections): -1.05 eV per atom
* space-group type: P4/mmm